--- w ---
Ba2InTc: relaxed, PBEsol.

Summary:
The spin magnetization is 1.7 μB per cell.

Cell: 3.4926 3.4926 9.8238 Å, 90.00 90.00 90.00°
With the nearest neighbours (Å) after each atom.
Element x y z (fractional)
1 Ba 0.0000 0.0000 0.7183  4 Tc 3.27, 4 Ba 3.49
2 Ba 0.0000 0.0000 0.2817  4 Tc 3.27, 4 Ba 3.49
3 In 0.5000 0.5000 0.0000  4 In 3.49, 8 Ba 3.71
4 Tc 0.5000 0.5000 0.5000  8 Ba 3.27, 4 Tc 3.49

***

--- x ---
Ba2InTc: relaxed, PBEsol.

Summary:
The spin magnetization is 0.0 μB per cell.

Cell: 3.5998 3.6518 10.7281 Å, 99.18 90.00 119.53°
With the nearest neighbours (Å) after each atom.
Element x y z (fractional)
1 Ba 0.7387 0.4774 0.7120  3 Tc 3.05-3.07
2 Ba 0.2613 0.5226 0.2880  3 Tc 3.05-3.07
3 In 0.5000 0.0000 0.0000  6 In 3.60-3.65, 6 Ba 3.68-3.70
4 Tc 0.0000 0.0000 0.5000  6 Ba 3.05-3.07

***

Which structure is the most stable? The one labeled w.

***

--- w ---
BaTlIn2: relaxed, PBEsol.

Summary:
The spin magnetization is 0.0 μB per cell.

Cell: 4.9827 4.9664 6.6601 Å, 111.93 90.00 120.11°
With the nearest neighbours (Å) after each atom.
Element x y z (fractional)
1 Ba 0.5000 0.0000 0.0000  6 In 3.49
2 In 0.7233 0.4466 0.6693  3 Tl 3.04-3.05
3 In 0.2767 0.5534 0.3307  3 Tl 3.04-3.05
4 Tl 0.0000 0.0000 0.5000  6 In 3.04-3.05

***

--- x ---
BaTlIn2: relaxed, PBEsol.

Summary:
The spin magnetization is 0.0 μB per cell.

Cell: 5.5155 5.5156 5.5156 Å, 60.04 60.00 60.00°
With the nearest neighbours (Å) after each atom.
Element x y z (fractional)
1 Tl 0.4998 0.5002 0.5002  4 In 3.38, 4 Ba 3.38
2 Ba 0.2500 0.2500 0.2500  4 Tl 3.38, 4 In 3.38
3 In 0.0002 0.9998 0.9998  4 In 3.38, 4 Ba 3.38
4 In 0.7499 0.7501 0.7501  4 In 3.38, 4 Tl 3.38

***

--- y ---
BaTlIn2: relaxed, PBEsol.

Summary:
The spin magnetization is 0.0 μB per cell.

Cell: 4.9219 4.9219 6.6715 Å, 68.35 68.35 60.00°
With the nearest neighbours (Å) after each atom.
Element x y z (fractional)
1 Tl 0.4762 0.4762 0.5713  3 In 3.10, 3 Ba 3.45
2 Ba 0.2505 0.2505 0.2484  3 Tl 3.45, 3 In 3.48
3 In 0.0278 0.0278 0.9167  3 In 2.96
4 In 0.7410 0.7410 0.7770  3 In 2.96, 3 Tl 3.10

***

Which structure is the most stable? The one labeled y.

***

--- w ---
Ba2LaIr: relaxed, PBEsol.

Summary:
The spin magnetization is 0.0 μB per cell.

Cell: 5.4528 5.4528 5.4528 Å, 60.00 60.00 60.00°
With the nearest neighbours (Å) after each atom.
Element x y z (fractional)
1 Ir 0.0000 0.0000 0.0000  8 Ba 3.34
2 Ba 0.2500 0.2500 0.2500  4 Ir 3.34, 4 La 3.34
3 Ba 0.7500 0.7500 0.7500  4 La 3.34, 4 Ir 3.34
4 La 0.5000 0.5000 0.5000  8 Ba 3.34

***

--- x ---
Ba2LaIr: relaxed, PBEsol.

Summary:
The spin magnetization is 0.0 μB per cell.

Cell: 4.2913 4.2941 10.7730 Å, 101.33 90.00 119.98°
With the nearest neighbours (Å) after each atom.
Element x y z (fractional)
1 Ir 0.4911 0.9822 0.4743  3 La 2.79, 3 Ba 3.11
2 Ba 0.0074 0.0148 0.0188  9 Ba 4.29-4.57, 3 La 4.29-4.30
3 Ba 0.2168 0.4336 0.6538  3 Ir 3.11
4 La 0.7847 0.5693 0.3531  3 Ir 2.79

***

Which structure is the most stable? The one labeled x.

***

--- w ---
BaPIrS2: relaxed, PBEsol.

Summary:
The spin magnetization is 0.0 μB per cell.

Cell: 4.3514 5.0339 5.0339 Å, 90.00 90.00 90.00°
With the nearest neighbours (Å) after each atom.
Element x y z (fractional)
1 P 0.5000 0.0000 0.0000  2 Ir 2.18
2 S 0.0000 0.0000 0.5000  2 Ir 2.52
3 S 0.0000 0.5000 0.0000  2 Ir 2.52
4 Ir 0.0000 0.0000 0.0000  2 P 2.18
5 Ba 0.5000 0.5000 0.5000  8 S 3.33, 4 P 3.56

***

--- x ---
BaPIrS2: relaxed, PBEsol.

Summary:
The spin magnetization is 3.5 μB per cell.

Cell: 5.3891 5.3891 5.5621 Å, 90.00 90.00 90.00°
With the nearest neighbours (Å) after each atom.
Element x y z (fractional)
1 P 0.0000 0.0000 0.5000  2 Ba 2.78
2 S 0.0000 0.5000 0.0000  2 Ba 2.69
3 S 0.5000 0.0000 0.0000  2 Ba 2.69
4 Ir 0.5000 0.5000 0.5000  4 P 3.81, 8 S 3.87
5 Ba 0.0000 0.0000 0.0000  4 S 2.69, 2 P 2.78

***

Which structure is the most stable? The one labeled w.